[1]
{"formula": "NdTmOsRh", "functional": "PBE-GGA", "state": "relaxed", "total_magnetization_mub_per_fu": 0.0, "ef_ev_per_atom": -0.3589, "dos_at_fermi_per_ev_fu": 3.7, "sg": "F-43m, No. 216", "cell": [[0.000, 3.453, 3.453], [3.453, 0.000, 3.453], [3.453, 3.453, 0.000]], "species": ["Nd", "Tm", "Os", "Rh"], "fractional_positions": [[0.000, 0.000, 0.000], [0.500, 0.500, 0.500], [0.250, 0.250, 0.250], [0.750, 0.750, 0.750]]}

[2]
{"formula": "Sc2AuBr", "functional": "PBE-GGA", "state": "relaxed", "total_magnetization_mub_per_fu": 1.3, "formation_energy_uncorrected_mev_per_atom": -634, "dos_at_fermi_per_ev_fu": 2.3, "relative_energy_mev_per_atom": 159, "sg": "R3m, No. 160", "cell": [[1.748, 1.009, 9.643], [-1.748, 1.009, 9.643], [0.000, -2.018, 9.643]], "species": ["Sc", "Sc", "Au", "Br"], "fractional_positions": [[0.000, 0.000, 0.000], [0.245, 0.245, 0.245], [0.732, 0.732, 0.732], [0.514, 0.514, 0.514]]}

[3]
{"formula": "CoSb2OsAu", "functional": "PBE-GGA", "state": "relaxed", "total_magnetization_mub_per_fu": 4.1, "formation_energy_uncorrected_mev_per_atom": 1910, "dos_at_fermi_per_ev_fu": 6.7, "sg": "P4/mmm, No. 123", "cell": [[5.229, 0.000, 0.000], [0.000, 5.229, 0.000], [0.000, 0.000, 5.057]], "species": ["Co", "Sb", "Sb", "Os", "Au"], "fractional_positions": [[0.000, 0.000, 0.000], [0.000, 0.500, 0.500], [0.500, 0.000, 0.500], [0.500, 0.500, 0.000], [0.500, 0.500, 0.500]]}

[4]
{"formula": "La2Pr6Sm3", "functional": "PBE-GGA", "state": "relaxed", "total_magnetization_mub_per_fu": 0.0, "ef_ev_per_atom": 0.0146, "dos_at_fermi_per_ev_fu": 19.0, "relative_energy_mev_per_atom": 0, "sg": "P-1, No. 2", "cell": [[6.425, 0.000, 0.000], [-2.127, 7.982, 0.000], [-1.032, -2.839, 7.691]], "species": ["La", "La", "Pr", "Pr", "Pr", "Pr", "Pr", "Pr", "Sm", "Sm", "Sm"], "fractional_positions": [[0.230, 0.410, 0.047], [0.770, 0.590, 0.953], [0.045, 0.683, 0.410], [0.137, 0.046, 0.230], [0.318, 0.774, 0.863], [0.682, 0.226, 0.137], [0.863, 0.954, 0.770], [0.955, 0.317, 0.590], [0.411, 0.136, 0.680], [0.500, 0.500, 0.500], [0.589, 0.864, 0.320]]}

[5]
{"formula": "Ca2Ga4Cu3Pd", "functional": "PBE-GGA", "state": "relaxed", "total_magnetization_mub_per_fu": 0.0, "ef_ev_per_atom": -0.4142, "dos_at_fermi_per_ev_fu": 3.9, "sg": "P-4m2, No. 115", "cell": [[4.145, 0.000, 0.000], [0.000, 4.145, 0.000], [0.000, 0.000, 10.638]], "species": ["Ca", "Ca", "Ga", "Ga", "Ga", "Ga", "Cu", "Cu", "Cu", "Pd"], "fractional_positions": [[0.000, 0.500, 0.245], [0.500, 0.000, 0.755], [0.000, 0.000, 0.000], [0.000, 0.500, 0.635], [0.500, 0.000, 0.365], [0.500, 0.500, 0.000], [0.000, 0.500, 0.866], [0.500, 0.000, 0.134], [0.500, 0.500, 0.500], [0.000, 0.000, 0.500]]}

[6]
{"formula": "Sn12H5Au3", "functional": "PBE-GGA", "state": "relaxed", "total_magnetization_mub_per_fu": 0.0, "e_tot_ev_per_cell": -281.600, "dos_at_fermi_per_ev_fu": 8.2, "sg": "Ia-3d, No. 230", "cell": [[-7.475, 7.475, 7.475], [7.475, -7.475, 7.475], [7.475, 7.475, -7.475]], "species": ["Sn", "Sn", "Sn", "Sn", "Sn", "Sn", "Sn", "Sn", "Sn", "Sn", "Sn", "Sn", "Sn", "Sn", "Sn", "Sn", "Sn", "Sn", "Sn", "Sn", "Sn", "Sn", "Sn", "Sn", "Sn", "Sn", "Sn", "Sn", "Sn", "Sn", "Sn", "Sn", "Sn", "Sn", "Sn", "Sn", "Sn", "Sn", "Sn", "Sn", "Sn", "Sn", "Sn", "Sn", "Sn", "Sn", "Sn", "Sn", "H", "H", "H", "H", "H", "H", "H", "H", "H", "H", "H", "H", "H", "H", "H", "H", "H", "H", "H", "H", "Au", "Au", "Au", "Au", "Au", "Au", "Au", "Au", "Au", "Au", "Au", "Au"], "fractional_positions": [[0.023, 0.204, 0.110], [0.023, 0.319, 0.913], [0.087, 0.610, 0.406], [0.087, 0.977, 0.681], [0.094, 0.704, 0.681], [0.094, 0.890, 0.413], [0.110, 0.023, 0.204], [0.110, 0.587, 0.906], [0.181, 0.204, 0.594], [0.181, 0.477, 0.587], [0.204, 0.110, 0.023], [0.204, 0.594, 0.181], [0.296, 0.319, 0.906], [0.296, 0.477, 0.390], [0.319, 0.906, 0.296], [0.319, 0.913, 0.023], [0.390, 0.296, 0.477], [0.390, 0.594, 0.913], [0.406, 0.087, 0.610], [0.406, 0.819, 0.796], [0.413, 0.094, 0.890], [0.413, 0.819, 0.523], [0.477, 0.390, 0.296], [0.477, 0.587, 0.181], [0.523, 0.413, 0.819], [0.523, 0.610, 0.704], [0.587, 0.181, 0.477], [0.587, 0.906, 0.110], [0.594, 0.181, 0.204], [0.594, 0.913, 0.390], [0.610, 0.406, 0.087], [0.610, 0.704, 0.523], [0.681, 0.087, 0.977], [0.681, 0.094, 0.704], [0.704, 0.523, 0.610], [0.704, 0.681, 0.094], [0.796, 0.406, 0.819], [0.796, 0.890, 0.977], [0.819, 0.523, 0.413], [0.819, 0.796, 0.406], [0.890, 0.413, 0.094], [0.890, 0.977, 0.796], [0.906, 0.110, 0.587], [0.906, 0.296, 0.319], [0.913, 0.023, 0.319], [0.913, 0.390, 0.594], [0.977, 0.681, 0.087], [0.977, 0.796, 0.890], [0.000, 0.000, 0.000], [0.000, 0.000, 0.500], [0.000, 0.500, 0.000], [0.000, 0.500, 0.500], [0.125, 0.750, 0.875], [0.125, 0.875, 0.250], [0.250, 0.125, 0.875], [0.250, 0.625, 0.375], [0.375, 0.250, 0.625], [0.375, 0.625, 0.750], [0.500, 0.000, 0.000], [0.500, 0.000, 0.500], [0.500, 0.500, 0.000], [0.500, 0.500, 0.500], [0.625, 0.375, 0.250], [0.625, 0.750, 0.375], [0.750, 0.375, 0.625], [0.750, 0.875, 0.125], [0.875, 0.125, 0.750], [0.875, 0.250, 0.125], [0.125, 0.250, 0.375], [0.125, 0.375, 0.750], [0.250, 0.375, 0.125], [0.250, 0.875, 0.625], [0.375, 0.125, 0.250], [0.375, 0.750, 0.125], [0.625, 0.250, 0.875], [0.625, 0.875, 0.750], [0.750, 0.125, 0.375], [0.750, 0.625, 0.875], [0.875, 0.625, 0.250], [0.875, 0.750, 0.625]]}

[7]
{"formula": "CrHSe2", "functional": "PBE-GGA", "state": "relaxed", "total_magnetization_mub_per_fu": 0.0, "dos_at_fermi_per_ev_fu": 1.1, "relative_energy_mev_per_atom": 338, "sg": "Pnma, No. 62", "cell": [[6.911, 0.000, 0.000], [0.000, 3.306, 0.000], [0.000, 0.000, 11.696]], "species": ["Cr", "Cr", "Cr", "Cr", "H", "H", "H", "H", "Se", "Se", "Se", "Se", "Se", "Se", "Se", "Se"], "fractional_positions": [[0.056, 0.250, 0.080], [0.444, 0.750, 0.580], [0.556, 0.250, 0.420], [0.944, 0.750, 0.920], [0.030, 0.250, 0.693], [0.470, 0.750, 0.193], [0.530, 0.250, 0.807], [0.970, 0.750, 0.307], [0.097, 0.750, 0.726], [0.245, 0.250, 0.498], [0.255, 0.750, 0.998], [0.403, 0.250, 0.226], [0.597, 0.750, 0.774], [0.745, 0.250, 0.002], [0.755, 0.750, 0.502], [0.903, 0.250, 0.274]]}

[8]
{"formula": "MnW2Se", "functional": "PBE-GGA", "state": "relaxed", "total_magnetization_mub_per_fu": 0.0, "formation_energy_uncorrected_mev_per_atom": 399, "dos_at_fermi_per_ev_fu": 3.2, "sg": "Cm, No. 8", "cell": [[4.474, -1.495, 0.000], [4.474, 1.495, 0.000], [-1.308, 0.000, 4.429]], "species": ["Mn", "W", "W", "Se"], "fractional_positions": [[0.000, 0.000, 0.000], [0.272, 0.272, 0.872], [0.487, 0.487, 0.494], [0.740, 0.740, 0.331]]}

[9]
{"formula": "NaPr2AgO5", "functional": "PBE-GGA", "state": "relaxed", "total_magnetization_mub_per_fu": 0.0, "formation_energy_uncorrected_mev_per_atom": -2051, "sg": "P4/mbm, No. 127", "cell": [[6.858, 0.000, 0.000], [0.000, 6.858, 0.000], [0.000, 0.000, 5.963]], "species": ["Na", "Na", "Pr", "Pr", "Pr", "Pr", "Ag", "Ag", "O", "O", "O", "O", "O", "O", "O", "O", "O", "O"], "fractional_positions": [[0.000, 0.000, 0.000], [0.500, 0.500, 0.000], [0.177, 0.323, 0.500], [0.323, 0.823, 0.500], [0.677, 0.177, 0.500], [0.823, 0.677, 0.500], [0.000, 0.500, 0.000], [0.500, 0.000, 0.000], [0.000, 0.000, 0.500], [0.136, 0.636, 0.252], [0.136, 0.636, 0.748], [0.364, 0.136, 0.252], [0.364, 0.136, 0.748], [0.500, 0.500, 0.500], [0.636, 0.864, 0.252], [0.636, 0.864, 0.748], [0.864, 0.364, 0.252], [0.864, 0.364, 0.748]]}

[10]
{"formula": "RbBe2Sb", "functional": "PBE-GGA", "state": "relaxed", "total_magnetization_mub_per_fu": 0.0, "formation_energy_uncorrected_mev_per_atom": 894, "dos_at_fermi_per_ev_fu": 1.4, "relative_energy_mev_per_atom": 409, "sg": "Fm-3m, No. 225", "cell": [[0.000, 3.503, 3.503], [3.503, 0.000, 3.503], [3.503, 3.503, 0.000]], "species": ["Rb", "Be", "Be", "Sb"], "fractional_positions": [[0.000, 0.000, 0.000], [0.250, 0.250, 0.250], [0.750, 0.750, 0.750], [0.500, 0.500, 0.500]]}

[11]
{"formula": "RbY2MgOs", "functional": "PBE-GGA", "state": "relaxed", "total_magnetization_mub_per_fu": 1.2, "ef_ev_per_atom": 1.1294, "dos_at_fermi_per_ev_fu": 6.8, "sg": "P4/mmm, No. 123", "cell": [[5.700, 0.000, 0.000], [0.000, 5.700, 0.000], [0.000, 0.000, 4.826]], "species": ["Rb", "Y", "Y", "Mg", "Os"], "fractional_positions": [[0.000, 0.000, 0.000], [0.000, 0.500, 0.500], [0.500, 0.000, 0.500], [0.500, 0.500, 0.500], [0.500, 0.500, 0.000]]}

[12]
{"formula": "Ca3EuAs", "functional": "PBE-GGA", "state": "relaxed", "total_magnetization_mub_per_fu": 8.2, "ef_ev_per_atom": -0.4432, "dos_at_fermi_per_ev_fu": 2.3, "sg": "Pm-3m, No. 221", "cell": [[5.799, 0.000, 0.000], [0.000, 5.799, 0.000], [0.000, 0.000, 5.799]], "species": ["Ca", "Ca", "Ca", "Eu", "As"], "fractional_positions": [[0.000, 0.000, 0.500], [0.000, 0.500, 0.000], [0.500, 0.000, 0.000], [0.500, 0.500, 0.500], [0.000, 0.000, 0.000]]}

[13]
{"formula": "TcTePb2", "functional": "PBE-GGA", "state": "relaxed", "total_magnetization_mub_per_fu": 0.0, "formation_energy_uncorrected_mev_per_atom": 138, "dos_at_fermi_per_ev_fu": 1.0, "sg": "R3m, No. 160", "cell": [[1.717, 0.992, 10.142], [-1.717, 0.992, 10.142], [0.000, -1.983, 10.142]], "species": ["Tc", "Te", "Pb", "Pb"], "fractional_positions": [[0.000, 0.000, 0.000], [0.723, 0.723, 0.723], [0.261, 0.261, 0.261], [0.497, 0.497, 0.497]]}

[14]
{"formula": "ScCdNiAg", "functional": "PBE-GGA", "state": "relaxed", "total_magnetization_mub_per_fu": 0.0, "ef_ev_per_atom": -0.2110, "dos_at_fermi_per_ev_fu": 2.5, "sg": "F-43m, No. 216", "cell": [[0.000, 3.273, 3.273], [3.273, 0.000, 3.273], [3.273, 3.273, 0.000]], "species": ["Sc", "Cd", "Ni", "Ag"], "fractional_positions": [[0.000, 0.000, 0.000], [0.500, 0.500, 0.500], [0.250, 0.250, 0.250], [0.750, 0.750, 0.750]]}

[15]
{"formula": "LiYPuRh", "functional": "PBE-GGA", "state": "relaxed", "total_magnetization_mub_per_fu": 5.9, "ef_ev_per_atom": -0.2609, "dos_at_fermi_per_ev_fu": 7.4, "sg": "F-43m, No. 216", "cell": [[0.000, 3.493, 3.493], [3.493, 0.000, 3.493], [3.493, 3.493, 0.000]], "species": ["Li", "Y", "Pu", "Rh"], "fractional_positions": [[0.000, 0.000, 0.000], [0.250, 0.250, 0.250], [0.750, 0.750, 0.750], [0.500, 0.500, 0.500]]}

[16]
{"formula": "CrHSe2", "functional": "PBE-GGA", "state": "relaxed", "total_magnetization_mub_per_fu": 3.0, "dos_at_fermi_per_ev_fu": 1.4, "relative_energy_mev_per_atom": 134, "sg": "Cc, No. 9", "cell": [[3.641, -3.626, 0.000], [3.641, 3.626, 0.000], [-3.556, 0.000, 5.714]], "species": ["Cr", "Cr", "H", "H", "Se", "Se", "Se", "Se"], "fractional_positions": [[0.134, 0.866, 0.500], [0.866, 0.134, 0.000], [0.357, 0.799, 0.976], [0.799, 0.357, 0.476], [0.080, 0.345, 0.457], [0.345, 0.080, 0.957], [0.654, 0.908, 0.571], [0.908, 0.654, 0.071]]}

[17]
{"formula": "PrTl2IO8", "functional": "PBE-GGA", "state": "relaxed", "total_magnetization_mub_per_fu": 0.0, "formation_energy_uncorrected_mev_per_atom": -1016, "dos_at_fermi_per_ev_fu": 0.3, "sg": "P-1, No. 2", "cell": [[5.144, 0.000, 0.000], [0.009, 5.156, 0.000], [0.519, 0.550, 6.947]], "species": ["Pr", "Tl", "Tl", "I", "O", "O", "O", "O", "O", "O", "O", "O"], "fractional_positions": [[0.000, 0.000, 0.000], [0.463, 0.462, 0.249], [0.537, 0.538, 0.751], [0.000, 0.000, 0.500], [0.158, 0.804, 0.703], [0.190, 0.836, 0.299], [0.273, 0.263, 0.502], [0.322, 0.312, 0.974], [0.678, 0.688, 0.026], [0.727, 0.737, 0.498], [0.810, 0.164, 0.701], [0.842, 0.196, 0.297]]}

[18]
{"formula": "NdPuTlRh", "functional": "PBE-GGA", "state": "relaxed", "total_magnetization_mub_per_fu": 5.5, "ef_ev_per_atom": -0.3499, "dos_at_fermi_per_ev_fu": 11.1, "relative_energy_mev_per_atom": 0, "sg": "P4mm, No. 99", "cell": [[3.451, 0.000, 0.000], [0.000, 3.451, 0.000], [0.000, 0.000, 8.433]], "species": ["Nd", "Pu", "Tl", "Rh"], "fractional_positions": [[0.000, 0.000, 0.000], [0.000, 0.000, 0.587], [0.500, 0.500, 0.300], [0.500, 0.500, 0.785]]}

[19]
{"formula": "Rb2SiSn2", "functional": "PBE-GGA", "state": "relaxed", "total_magnetization_mub_per_fu": 0.0, "formation_energy_uncorrected_mev_per_atom": 473, "dos_at_fermi_per_ev_fu": 4.0, "sg": "P4/mbm, No. 127", "cell": [[10.918, 0.000, 0.000], [0.000, 10.918, 0.000], [0.000, 0.000, 3.192]], "species": ["Rb", "Rb", "Rb", "Rb", "Si", "Si", "Sn", "Sn", "Sn", "Sn"], "fractional_positions": [[0.205, 0.295, 0.000], [0.295, 0.795, 0.000], [0.705, 0.205, 0.000], [0.795, 0.705, 0.000], [0.000, 0.000, 0.500], [0.500, 0.500, 0.500], [0.091, 0.591, 0.500], [0.409, 0.091, 0.500], [0.591, 0.909, 0.500], [0.909, 0.409, 0.500]]}

[20]
{"formula": "Mg3AgAu3", "functional": "PBE-GGA", "state": "relaxed", "total_magnetization_mub_per_fu": 0.0, "ef_ev_per_atom": -0.3924, "dos_at_fermi_per_ev_fu": 2.1, "sg": "Cmmm, No. 65", "cell": [[4.723, -4.788, 0.000], [4.723, 4.788, 0.000], [0.000, 0.000, 6.053]], "species": ["Mg", "Mg", "Mg", "Mg", "Mg", "Mg", "Ag", "Ag", "Au", "Au", "Au", "Au", "Au", "Au"], "fractional_positions": [[0.229, 0.771, 0.000], [0.247, 0.247, 0.500], [0.256, 0.744, 0.500], [0.744, 0.256, 0.500], [0.753, 0.753, 0.500], [0.771, 0.229, 0.000], [0.212, 0.212, 0.000], [0.788, 0.788, 0.000], [0.000, 0.500, 0.254], [0.000, 0.500, 0.746], [0.500, 0.000, 0.254], [0.500, 0.000, 0.746], [0.500, 0.500, 0.239], [0.500, 0.500, 0.761]]}